No. 1
A plane-wave DFT calculation with PBE-GGA was carried out for a relaxed TlV2B crystal.

Unit cell a=3.1879 b=3.1879 c=7.8824 alpha=78.33 beta=78.33 gamma=60.00
Fractional positions:
V: 0.1238 0.1238 0.6286
V: 0.8762 0.8762 0.3714
Tl: 0.0000 0.0000 0.0000
B: 0.5000 0.5000 0.5000

Computed properties:
The energy above the most stable polymorph in this dataset is 0 meV per atom.


No. 2
A plane-wave DFT calculation with PBE-GGA was carried out for a relaxed Tl2VB2 crystal.

Unit cell a=4.3502 b=4.3502 c=5.5130 alpha=66.76 beta=66.76 gamma=90.00
Site moments in Bohr magnetons follow the coordinates.
Fractional positions:
Tl: 0.2500 0.7500 0.5000  0.00
B: 0.4123 0.4123 0.1754  -0.01
V: 0.0000 0.0000 0.0000  2.85
Tl: 0.7500 0.2500 0.5000  0.00
B: 0.5877 0.5877 0.8246  -0.01

Computed properties:
The energy above the most stable polymorph in this dataset is 237 meV per atom.


No. 3
A plane-wave DFT calculation with PBE-GGA was carried out for a relaxed TlV2B crystal.

Unit cell a=4.3069 b=4.3069 c=4.3069 alpha=60.00 beta=60.00 gamma=60.00
Site moments in Bohr magnetons follow the coordinates.
Fractional positions:
Tl: 0.5000 0.5000 0.5000  0.02
V: 0.2500 0.2500 0.2500  0.40
V: 0.7500 0.7500 0.7500  0.40
B: 0.0000 0.0000 0.0000  0.00

Computed properties:
The energy above the most stable polymorph in this dataset is 769 meV per atom.


No. 4
A plane-wave DFT calculation with PBE-GGA was carried out for a relaxed Tl3VB crystal.

Unit cell a=4.9415 b=4.9415 c=4.9415 alpha=90.00 beta=90.00 gamma=90.00
Site moments in Bohr magnetons follow the coordinates.
Fractional positions:
Tl: 0.0000 0.5000 0.0000  -0.01
Tl: 0.0000 0.0000 0.5000  -0.01
V: 0.5000 0.5000 0.5000  2.98
Tl: 0.5000 0.0000 0.0000  -0.01
B: 0.0000 0.0000 0.0000  0.00

Computed properties:
The energy above the most stable polymorph in this dataset is 0 meV per atom.


No. 5
A plane-wave DFT calculation with PBE-GGA was carried out for a relaxed Tl2VB2 crystal.

Unit cell a=6.1657 b=6.1657 c=4.5335 alpha=90.00 beta=90.00 gamma=90.00
Site moments in Bohr magnetons follow the coordinates.
Fractional positions:
V: 0.0000 0.0000 0.0000  0.25
B: 0.2514 0.7514 0.0000  0.00
B: 0.7486 0.2486 0.0000  0.00
Tl: 0.8280 0.3280 0.5000  0.00
Tl: 0.1720 0.6720 0.5000  0.00
B: 0.7514 0.7486 0.0000  0.00
B: 0.2486 0.2514 0.0000  0.00
Tl: 0.6720 0.8280 0.5000  0.00
V: 0.5000 0.5000 0.0000  0.25
Tl: 0.3280 0.1720 0.5000  0.00

Computed properties:
The energy above the most stable polymorph in this dataset is 0 meV per atom.


No. 6
A plane-wave DFT calculation with PBE-GGA was carried out for a relaxed TlVB2 crystal.

Unit cell a=4.1354 b=4.1354 c=4.1354 alpha=60.00 beta=60.00 gamma=60.00
Fractional positions:
V: 0.0000 0.0000 0.0000
Tl: 0.5000 0.5000 0.5000
B: 0.7500 0.7500 0.7500
B: 0.2500 0.2500 0.2500

Computed properties:
The energy above the most stable polymorph in this dataset is 362 meV per atom.


No. 7
A plane-wave DFT calculation with PBE-GGA was carried out for a relaxed Tl3VB crystal.

Unit cell a=5.3740 b=5.3740 c=5.3740 alpha=90.00 beta=90.00 gamma=90.00
Site moments in Bohr magnetons follow the coordinates.
Fractional positions:
B: 0.5000 0.5000 0.5000  -0.29
V: 0.0000 0.0000 0.0000  2.53
Tl: 0.0000 0.5000 0.0000  0.06
Tl: 0.0000 0.0000 0.5000  0.06
Tl: 0.5000 0.0000 0.0000  0.06

Computed properties:
The energy above the most stable polymorph in this dataset is 239 meV per atom.


No. 8
A plane-wave DFT calculation with PBE-GGA was carried out for a relaxed TlVB2 crystal.

Unit cell a=5.7887 b=5.7887 c=5.4515 alpha=57.93 beta=57.93 gamma=90.00
Fractional positions:
V: 0.5000 0.5000 0.0000
Tl: 0.0000 0.0000 0.0000
B: 0.3750 0.4167 0.7500
B: 0.5833 0.1250 0.2500
B: 0.8750 0.8333 0.7500
Tl: 0.7500 0.2500 0.5000
B: 0.1667 0.6250 0.2500
V: 0.2500 0.7500 0.5000

Computed properties:
The energy above the most stable polymorph in this dataset is 0 meV per atom.


No. 9
A plane-wave DFT calculation with PBE-GGA was carried out for a relaxed TlV2B crystal.

Unit cell a=6.5855 b=6.5855 c=5.3869 alpha=52.32 beta=52.32 gamma=90.00
Fractional positions:
V: 0.3750 0.4396 0.7500
B: 0.2500 0.7500 0.5000
Tl: 0.0000 0.0000 0.0000
B: 0.5000 0.5000 0.0000
V: 0.8750 0.8104 0.7500
V: 0.1896 0.6250 0.2500
Tl: 0.7500 0.2500 0.5000
V: 0.5604 0.1250 0.2500

Computed properties:
The energy above the most stable polymorph in this dataset is 411 meV per atom.


No. 10
A plane-wave DFT calculation with PBE-GGA was carried out for a relaxed Zr2TlVB crystal.

Unit cell a=4.6935 b=4.6935 c=4.1928 alpha=90.00 beta=90.00 gamma=90.00
Site moments in Bohr magnetons follow the coordinates.
Fractional positions:
Tl: 0.5000 0.5000 0.5000  -0.02
B: 0.0000 0.0000 0.0000  -0.04
Zr: 0.5000 0.0000 0.0000  -0.01
V: 0.0000 0.0000 0.5000  1.16
Zr: 0.0000 0.5000 0.0000  -0.01


No. 11
A plane-wave DFT calculation with PBE-GGA was carried out for a relaxed Tl3BW crystal.

Unit cell a=4.8958 b=4.8958 c=4.8958 alpha=90.00 beta=90.00 gamma=90.00
Site moments in Bohr magnetons follow the coordinates.
Fractional positions:
B: 0.0000 0.0000 0.0000  0.06
W: 0.5000 0.5000 0.5000  2.77
Tl: 0.0000 0.5000 0.0000  -0.01
Tl: 0.5000 0.0000 0.0000  -0.01
Tl: 0.0000 0.0000 0.5000  0.01

Computed properties:
The energy above the most stable polymorph in this dataset is 0 meV per atom.


No. 12
A plane-wave DFT calculation with PBE-GGA was carried out for a relaxed TlBW3 crystal.

Unit cell a=4.9622 b=4.9622 c=4.9622 alpha=90.00 beta=90.00 gamma=90.00
Fractional positions:
W: 0.0000 0.5000 0.0000
W: 0.0000 0.0000 0.5000
W: 0.5000 0.0000 0.0000
B: 0.5000 0.5000 0.5000
Tl: 0.0000 0.0000 0.0000

Computed properties:
The energy above the most stable polymorph in this dataset is 3501 meV per atom.


The records above give, respectively, ΔE_f values of 0.1690 1.2396 0.9375 1.1487 1.0026 1.4923 1.3881 1.1304 0.5797 -0.1867 1.6383 4.1720 eV/atom.
The records above give, respectively, total magnetization values of 0.00 0.66 0.23 0.72 0.06 0.00 0.50 0.00 0.00 0.25 0.74 0.00 μB per atom.
The records above give, respectively, E values of -6.651 -4.202 -5.883 -3.430 -4.439 -4.718 -3.191 -5.080 -6.241 -7.238 -3.708 -5.409 eV per atom.